(1)
# La2CdCuMo | the Alexandria database | PBE | optimized geometry
# Calculated density: 6.27 g/cm³
# ΔH_f (0 K): 0.663 eV per atom
data_La2CdCuMo
_space_group_name_H-M_alt 'P 4/m m m'
_space_group_IT_number 123
_space_group_name_Hall '-P 4 2'
_cell_length_a 5.495
_cell_length_b 5.495
_cell_length_c 4.822
_cell_angle_alpha 90.00
_cell_angle_beta 90.00
_cell_angle_gamma 90.00
loop_
_atom_site_label
_atom_site_type_symbol
_atom_site_fract_x
_atom_site_fract_y
_atom_site_fract_z
La1 La 0.000 0.500 0.000
Cd1 Cd 0.000 0.000 0.500
Cu1 Cu 0.000 0.000 0.000
Mo1 Mo 0.500 0.500 0.500

***

(2)
# NdTlF6 | the Alexandria database | PBE | optimized geometry
# Calculated density: 6.01 g/cm³
# Raw formation energy: -2916 meV/atom
data_NdTlF6
_space_group_name_H-M_alt 'P -1'
_space_group_IT_number 2
_space_group_name_Hall '-P 1'
_cell_length_a 4.068
_cell_length_b 6.015
_cell_length_c 6.045
_cell_angle_alpha 95.18
_cell_angle_beta 109.64
_cell_angle_gamma 109.46
loop_
_atom_site_label
_atom_site_type_symbol
_atom_site_fract_x
_atom_site_fract_y
_atom_site_fract_z
Nd1 Nd 0.000 0.000 0.000
Tl1 Tl 0.000 0.500 0.500
F1 F 0.002 0.741 0.259
F2 F 0.332 0.279 0.391
F3 F 0.333 0.778 0.884

***

(3)
# MgAs2Cl | the Alexandria database | PBE | optimized geometry
# Calculated density: 3.76 g/cm³
# Relative energy among the computed polymorphs: 112.4 meV/atom
# Raw formation energy: -482 meV/atom
data_MgAs2Cl
_space_group_name_H-M_alt 'P 1 2/m 1'
_space_group_IT_number 10
_space_group_name_Hall '-P 2y'
_cell_length_a 4.008
_cell_length_b 5.194
_cell_length_c 4.839
_cell_angle_alpha 90.00
_cell_angle_beta 113.08
_cell_angle_gamma 90.00
loop_
_atom_site_label
_atom_site_type_symbol
_atom_site_fract_x
_atom_site_fract_y
_atom_site_fract_z
Mg1 Mg 0.000 0.000 0.000
As1 As 0.172 0.500 0.826
Cl1 Cl 0.500 0.000 0.500

***

(4)
# TeIr2 | the Alexandria database | PBE | optimized geometry
# Calculated density: 16.46 g/cm³
# Relative energy among the computed polymorphs: 535.7 meV/atom
# Raw formation energy: 543 meV/atom
data_TeIr2
_space_group_name_H-M_alt 'P 63/m m c'
_space_group_IT_number 194
_space_group_name_Hall '-P 6c 2c'
_cell_length_a 4.5729
_cell_length_b 4.5729
_cell_length_c 5.7038
_cell_angle_alpha 90.00
_cell_angle_beta 90.00
_cell_angle_gamma 120.00
loop_
_atom_site_label
_atom_site_type_symbol
_atom_site_fract_x
_atom_site_fract_y
_atom_site_fract_z
Te1 Te 0.3333 0.6667 0.2500
Ir1 Ir 0.0000 0.0000 0.0000
Ir2 Ir 0.3333 0.6667 0.7500

***

(5)
# Pm5Er8Mg | the Alexandria database | PBE | optimized geometry
# Calculated density: 7.61 g/cm³
# ΔH_f (0 K): 0.225 eV per atom
data_Pm5Er8Mg
_space_group_name_H-M_alt 'I -4'
_space_group_IT_number 82
_space_group_name_Hall 'I -4'
_cell_length_a 9.576
_cell_length_b 9.576
_cell_length_c 9.940
_cell_angle_alpha 90.00
_cell_angle_beta 90.00
_cell_angle_gamma 90.00
loop_
_atom_site_label
_atom_site_type_symbol
_atom_site_fract_x
_atom_site_fract_y
_atom_site_fract_z
Pm1 Pm 0.000 0.000 0.000
Pm2 Pm 0.104 0.787 0.580
Er1 Er 0.070 0.674 0.907
Er2 Er 0.087 0.817 0.245
Mg1 Mg 0.000 0.500 0.250

***

(6)
# Sr4LaSc | the Alexandria database | PBE | optimized geometry
# Calculated density: 3.20 g/cm³
# ΔH_f (0 K): 0.520 eV per atom
data_Sr4LaSc
_space_group_name_H-M_alt 'F -4 3 m'
_space_group_IT_number 216
_space_group_name_Hall 'F -4 2 3'
_cell_length_a 10.347
_cell_length_b 10.347
_cell_length_c 10.347
_cell_angle_alpha 90.00
_cell_angle_beta 90.00
_cell_angle_gamma 90.00
loop_
_atom_site_label
_atom_site_type_symbol
_atom_site_fract_x
_atom_site_fract_y
_atom_site_fract_z
Sr1 Sr 0.124 0.124 0.376
La1 La 0.000 0.000 0.000
Sc1 Sc 0.250 0.250 0.750

***

(7)
# AcPm4Cd5 | the Alexandria database | PBE | optimized geometry
# Calculated density: 7.78 g/cm³
# ΔH_f (0 K): -0.309 eV per atom
data_AcPm4Cd5
_space_group_name_H-M_alt 'P 4/m m m'
_space_group_IT_number 123
_space_group_name_Hall '-P 4 2'
_cell_length_a 3.878
_cell_length_b 3.878
_cell_length_c 19.415
_cell_angle_alpha 90.00
_cell_angle_beta 90.00
_cell_angle_gamma 90.00
loop_
_atom_site_label
_atom_site_type_symbol
_atom_site_fract_x
_atom_site_fract_y
_atom_site_fract_z
Ac1 Ac 0.000 0.000 0.000
Pm1 Pm 0.000 0.000 0.209
Pm2 Pm 0.000 0.000 0.403
Cd1 Cd 0.500 0.500 0.115
Cd2 Cd 0.500 0.500 0.306
Cd3 Cd 0.500 0.500 0.500

***

(8)
# LiDyP | the Alexandria database | PBE | optimized geometry
# Calculated density: 6.13 g/cm³
# ΔH_f (0 K): -0.985 eV per atom
data_LiDyP
_space_group_name_H-M_alt 'P -6 m 2'
_space_group_IT_number 187
_space_group_name_Hall 'P -6 2'
_cell_length_a 4.0236
_cell_length_b 4.0236
_cell_length_c 3.8711
_cell_angle_alpha 90.00
_cell_angle_beta 90.00
_cell_angle_gamma 120.00
loop_
_atom_site_label
_atom_site_type_symbol
_atom_site_fract_x
_atom_site_fract_y
_atom_site_fract_z
Li1 Li 0.0000 0.0000 0.0000
Dy1 Dy 0.3333 0.6667 0.5000
P1 P 0.6667 0.3333 0.0000